Material: KCoSO
Method: DFT, PBE+U
State: relaxed

Values from the calculation:
**M_tot**: 16.00 μB per cell
**E above lowest polymorph**: 20 kJ/mol of formula units

extended XYZ file:
```
16
Lattice="-4.023 -5.535 -1.683 6.460 -4.606 -0.296 -0.665 -1.313 5.910" Properties=species:S:1:pos:R:3 pbc="T T T"
Co -1.388 -6.804 -1.469
S 1.711 -5.535 3.148
K 2.763 -7.980 1.658
S -1.141 -7.704 2.345
S 3.023 -3.531 0.602
O -1.242 -4.142 2.421
O 1.087 -10.004 1.381
Co 2.409 -5.309 -0.709
O 3.272 -6.798 -0.799
Co -0.347 -5.572 2.061
K 0.143 -1.910 2.711
Co 3.449 -4.076 2.820
S 0.171 -5.700 -0.200
O 0.944 -0.936 0.241
K 1.299 -10.192 4.140
K -1.321 -4.122 5.194
```